Model P:
Computed, not measured: a geometry-optimized NaLa2Re structure at the PBE-GGA level of DFT.

Cell and atoms, written as extended XYZ:
```
8
Lattice="-4.234 4.234 3.550 4.234 -4.234 3.550 4.234 4.234 -3.550" Properties=species:S:1:pos:R:3 pbc="T T T"
Na 0.000 0.000 0.000
Na 0.000 4.234 1.775
La 2.117 -1.446 2.662
La 2.788 2.117 0.887
La 2.117 5.681 -0.887
La 1.446 2.117 4.437
Re 4.234 0.000 1.775
Re 0.000 0.000 3.550
```

Values from the calculation:
Calculated volume ... 31.82 Å³/atom
Total magnetic moment ... 0.000 μB/f.u.

***

Model Q:
Computed, not measured: a geometry-optimized NaLa2Re structure at the PBE-GGA level of DFT.

Cell and atoms, written as extended XYZ:
```
4
Lattice="0.000 3.706 3.706 3.706 0.000 3.706 3.706 3.706 0.000" Properties=species:S:1:pos:R:3 pbc="T T T"
Na 0.000 0.000 0.000
La 1.853 1.853 1.853
La 5.559 5.559 5.559
Re 3.706 3.706 3.706
```

Values from the calculation:
Calculated volume ... 25.45 Å³/atom
Total magnetic moment ... 0.000 μB/f.u.

***

Stability check: which of them is least stable? model P.

***

Model P:
Computed, not measured: a geometry-optimized Na3LaRh structure at the PBE-GGA level of DFT.

Cell and atoms, written as extended XYZ:
```
5
Lattice="3.368 0.000 0.000 0.000 2.511 8.526 0.000 -2.511 8.526" Properties=species:S:1:pos:R:3 pbc="T T T"
Na 0.000 0.000 0.000
Na 1.684 -1.219 5.523
Na 1.684 1.219 5.523
La 0.000 0.000 11.016
Rh 1.684 0.000 2.631
```

Values from the calculation:
Calculated volume ... 28.84 Å³/atom
Total magnetic moment ... 0.000 μB/f.u.

***

Model Q:
Computed, not measured: a geometry-optimized Na3LaRh structure at the PBE-GGA level of DFT.

Cell and atoms, written as extended XYZ:
```
10
Lattice="4.238 0.000 0.000 -2.119 3.671 0.000 0.000 0.000 23.634" Properties=species:S:1:pos:R:3 pbc="T T T"
Na 0.000 0.000 5.909
Na 0.000 0.000 17.726
Na 0.000 2.447 3.111
Na 0.000 2.447 8.706
Na 2.119 1.224 14.928
Na 2.119 1.224 20.523
La 0.000 0.000 0.000
La 0.000 0.000 11.817
Rh 0.000 2.447 5.909
Rh 2.119 1.224 17.726
```

Values from the calculation:
Calculated volume ... 36.77 Å³/atom
Total magnetic moment ... 0.099 μB/f.u.

***

Model R:
Computed, not measured: a geometry-optimized Na3LaRh structure at the PBE-GGA level of DFT.

Cell and atoms, written as extended XYZ:
```
10
Lattice="2.688 -8.323 0.000 2.688 8.323 0.000 0.000 0.000 6.251" Properties=species:S:1:pos:R:3 pbc="T T T"
Na 0.000 0.000 0.000
Na 0.000 0.000 3.125
Na 1.304 3.026 1.563
Na 1.304 -3.026 4.688
Na 4.072 3.026 1.563
Na 4.072 -3.026 4.688
La 2.688 1.904 4.688
La 2.688 -1.904 1.563
Rh 2.688 5.796 1.563
Rh 2.688 -5.796 4.688
```

Values from the calculation:
Calculated volume ... 27.97 Å³/atom
Total magnetic moment ... 0.003 μB/f.u.

***

Stability check: which of them is least stable? model Q.

***

Model P:
Computed, not measured: a geometry-optimized Na3LaRh structure at the PBE-GGA level of DFT.

Cell and atoms, written as extended XYZ:
```
10
Lattice="5.316 0.000 0.000 0.000 6.186 0.000 -1.724 0.000 8.619" Properties=species:S:1:pos:R:3 pbc="T T T"
Na 0.004 1.546 0.781
Na 0.961 0.054 6.845
Na 0.961 3.039 6.845
Na 2.630 3.147 1.773
Na 2.630 6.132 1.773
Na 3.587 4.639 7.838
La 0.127 4.639 3.835
La 3.465 1.546 4.783
Rh 0.536 1.546 3.895
Rh 3.056 4.639 4.723
```

Values from the calculation:
Calculated volume ... 28.34 Å³/atom
Total magnetic moment ... 0.000 μB/f.u.

***

Model Q:
Computed, not measured: a geometry-optimized Na3LaRh structure at the PBE-GGA level of DFT.

Cell and atoms, written as extended XYZ:
```
20
Lattice="8.034 -6.060 0.000 8.034 6.060 0.000 -2.741 0.000 6.347" Properties=species:S:1:pos:R:3 pbc="T T T"
Na 0.285 0.449 3.051
Na 3.381 2.088 2.121
Na -1.086 -0.449 6.225
Na 2.418 1.176 5.752
Na 3.788 -1.176 2.578
Na 2.011 -2.088 5.295
Na 11.317 2.088 1.053
Na 9.539 1.176 3.770
Na 10.910 -1.176 0.596
Na 14.413 0.449 0.123
Na 9.946 -2.088 4.227
Na 13.043 -0.449 3.296
La 7.349 3.075 1.587
La 5.978 1.261 4.761
La 7.349 -1.261 1.587
La 5.978 -3.075 4.761
Rh 4.719 3.452 5.463
Rh 7.237 3.452 4.058
Rh 6.090 -3.452 2.290
Rh 8.608 -3.452 0.884
```

Values from the calculation:
Calculated volume ... 30.90 Å³/atom
Total magnetic moment ... 0.000 μB/f.u.

***

Model R:
Computed, not measured: a geometry-optimized Na3LaRh structure at the PBE-GGA level of DFT.

Cell and atoms, written as extended XYZ:
```
20
Lattice="6.530 0.000 0.000 0.000 9.581 0.000 0.000 0.000 9.543" Properties=species:S:1:pos:R:3 pbc="T T T"
Na 0.713 0.177 1.592
Na 0.713 4.614 1.592
Na 1.357 2.395 8.248
Na 1.908 7.186 3.476
Na 2.551 4.967 6.364
Na 2.551 9.404 6.364
Na 3.978 0.177 3.179
Na 3.978 4.614 3.179
Na 4.622 2.395 6.067
Na 5.172 7.186 1.296
Na 5.816 4.967 7.951
Na 5.816 9.404 7.951
La 0.901 2.395 4.230
La 2.364 7.186 9.001
La 4.166 2.395 0.542
La 5.628 7.186 5.313
Rh 0.000 0.000 4.772
Rh 0.000 4.790 4.772
Rh 3.265 0.000 0.000
Rh 3.265 4.790 0.000
```

Values from the calculation:
Calculated volume ... 29.85 Å³/atom
Total magnetic moment ... 0.000 μB/f.u.

***

Model S:
Computed, not measured: a geometry-optimized Na3LaRh structure at the PBE-GGA level of DFT.

Cell and atoms, written as extended XYZ:
```
5
Lattice="4.100 0.000 0.000 0.000 4.100 0.000 0.000 0.000 8.671" Properties=species:S:1:pos:R:3 pbc="T T T"
Na 0.000 0.000 0.000
Na 0.000 2.050 5.583
Na 2.050 0.000 5.583
La 2.050 2.050 2.535
Rh 0.000 0.000 3.073
```

Values from the calculation:
Calculated volume ... 29.16 Å³/atom
Total magnetic moment ... 0.000 μB/f.u.

***

Stability check: which of them is least stable? model R.

***

Model P:
Computed, not measured: a geometry-optimized NaLaRh3 structure at the PBE-GGA level of DFT.

Cell and atoms, written as extended XYZ:
```
5
Lattice="4.653 0.000 0.000 0.000 4.653 0.000 0.000 0.000 4.653" Properties=species:S:1:pos:R:3 pbc="T T T"
Na 0.000 0.000 0.000
La 2.327 2.327 2.327
Rh 0.000 0.000 2.327
Rh 0.000 2.327 0.000
Rh 2.327 0.000 0.000
```

Values from the calculation:
Calculated volume ... 20.15 Å³/atom
Total magnetic moment ... 0.000 μB/f.u.

***

Model Q:
Computed, not measured: a geometry-optimized NaLaRh3 structure at the PBE-GGA level of DFT.

Cell and atoms, written as extended XYZ:
```
5
Lattice="4.978 0.000 0.000 0.000 4.978 0.000 0.000 0.000 4.978" Properties=species:S:1:pos:R:3 pbc="T T T"
Na 0.000 0.000 0.000
La 2.489 2.489 2.489
Rh 0.000 2.489 2.489
Rh 2.489 0.000 2.489
Rh 2.489 2.489 0.000
```

Values from the calculation:
Calculated volume ... 24.67 Å³/atom
Total magnetic moment ... 0.347 μB/f.u.

***

Stability check: which of them is least stable? model Q.

***

Model P:
Computed, not measured: a geometry-optimized NaLa2Rh structure at the PBE-GGA level of DFT.

Cell and atoms, written as extended XYZ:
```
4
Lattice="0.000 3.754 3.754 3.754 0.000 3.754 3.754 3.754 0.000" Properties=species:S:1:pos:R:3 pbc="T T T"
Na 0.000 0.000 0.000
La 1.877 1.877 1.877
La 5.632 5.632 5.632
Rh 3.754 3.754 3.754
```

Values from the calculation:
Calculated volume ... 26.46 Å³/atom
Total magnetic moment ... 0.000 μB/f.u.

***

Model Q:
Computed, not measured: a geometry-optimized NaLa2Rh structure at the PBE-GGA level of DFT.

Cell and atoms, written as extended XYZ:
```
4
Lattice="2.068 1.194 10.736 -2.068 1.194 10.736 0.000 -2.388 10.736" Properties=species:S:1:pos:R:3 pbc="T T T"
Na 0.000 0.000 0.000
La 0.000 0.000 3.816
La 0.000 0.000 28.393
Rh 0.000 0.000 16.105
```

Values from the calculation:
Calculated volume ... 39.77 Å³/atom
Total magnetic moment ... 0.000 μB/f.u.

***

Stability check: which of them is least stable? model P.